Compound: AcHoI
Source: Alexandria
Functional: PBE
Structure: relaxed

Energy relative to the elements, uncorrected: -0.241 eV per atom
Offset from the most stable computed form: 0.245 eV/atom

The structure in CIF format:
```
data_AcHoI
_chemical_formula_sum 'Ac1 Ho1 I1'
_space_group_name_H-M_alt 'P 1'
_space_group_IT_number 1
_space_group_name_Hall 'P 1'
_cell_length_a 5.580
_cell_length_b 5.580
_cell_length_c 3.980
_cell_angle_alpha 90.00
_cell_angle_beta 90.00
_cell_angle_gamma 120.00
loop_
_atom_site_label
_atom_site_fract_x
_atom_site_fract_y
_atom_site_fract_z
Ac1 0.000 0.000 0.000
Ho1 0.333 0.667 0.500
I1 0.667 0.333 0.500
```

***

Compound: TbNd3Tc
Source: Alexandria
Functional: PBE
Structure: relaxed

Formation energy from the elements: 0.67 eV/f.u.

The structure in CIF format:
```
data_TbNd3Tc
_chemical_formula_sum 'Tb4 Nd12 Tc4'
_space_group_name_H-M_alt 'P 1'
_space_group_IT_number 1
_space_group_name_Hall 'P 1'
_cell_length_a 10.612
_cell_length_b 10.612
_cell_length_c 6.426
_cell_angle_alpha 93.32
_cell_angle_beta 93.32
_cell_angle_gamma 58.99
loop_
_atom_site_label
_atom_site_fract_x
_atom_site_fract_y
_atom_site_fract_z
Tb1 0.100 0.900 0.750
Tb2 0.389 0.611 0.250
Tb3 0.611 0.389 0.750
Tb4 0.900 0.100 0.250
Nd1 0.008 0.728 0.331
Nd2 0.017 0.611 0.825
Nd3 0.272 0.992 0.169
Nd4 0.296 0.358 0.476
Nd5 0.358 0.296 0.976
Nd6 0.389 0.983 0.675
Nd7 0.611 0.017 0.325
Nd8 0.642 0.704 0.024
Nd9 0.704 0.642 0.524
Nd10 0.728 0.008 0.831
Nd11 0.983 0.389 0.175
Nd12 0.992 0.272 0.669
Tc1 0.280 0.591 0.705
Tc2 0.409 0.720 0.795
Tc3 0.591 0.280 0.205
Tc4 0.720 0.409 0.295
```